# 1
# CsAlCr3

CsAlCr3 after structural relaxation (PBE, Alexandria via LeMat-Bulk).

abc: 5.159 5.159 5.159
angles: 90.00 90.00 90.00
Element x y z (fractional)
Al 0.500 0.500 0.500
Cr 0.500 0.000 0.000
Cs 0.000 0.000 0.000
Cr 0.000 0.500 0.000
Cr 0.000 0.000 0.500

Values from the calculation:
Formation energy from the elements: 12.791 eV/f.u.
Fermi-level density of states: 2.135 states/eV/f.u.
Space-group type: Pm-3m


# 2
# CsAl3Cr

CsAl3Cr after structural relaxation (PBE, Alexandria via LeMat-Bulk).

abc: 5.871 5.871 5.871
angles: 90.00 90.00 90.00
Element x y z (fractional)
Al 0.000 0.500 0.000
Al 0.000 0.000 0.500
Al 0.500 0.000 0.000
Cs 0.000 0.000 0.000
Cr 0.500 0.500 0.500

Values from the calculation:
Formation energy from the elements: 10.471 eV/f.u.
Fermi-level density of states: 7.012 states/eV/f.u.
Space-group type: Pm-3m